one:
A relaxed structure of Li5Sn2, computed with PBE.

abc: 8.309 11.667 5.528
angles: 90.00 90.00 90.00
Space group Ibam (No. 72)
One atom of each set of equivalent atoms:
Li: 0.000 0.000 0.250 (multiplicity 4)
Li: 0.000 0.230 0.250 (multiplicity 8)
Li: 0.131 0.411 0.000 (multiplicity 8)
Sn: 0.240 0.356 0.500 (multiplicity 8)

Calculated values
For the total moment, the calculation gives 0.00 μB/cell. For the volume, the calculation gives 19.14 Å³ per atom.

***

two:
A relaxed structure of Li5Sn2, computed with PBE.

abc: 4.7160 4.7160 19.7762
angles: 90.00 90.00 120.00
Space group R-3m (No. 166, hexagonal axes)
One atom of each set of equivalent atoms:
Li: 0.0000 0.0000 0.0000 (multiplicity 3)
Li: 0.0000 0.0000 0.1456 (multiplicity 6)
Li: 0.0000 0.0000 0.2857 (multiplicity 6)
Sn: 0.0000 0.0000 0.4263 (multiplicity 6)

Calculated values
For the total moment, the calculation gives 0.00 μB/cell. For the volume, the calculation gives 18.14 Å³ per atom.

***

three:
A relaxed structure of Li5Sn2, computed with PBE.

abc: 13.258 5.077 7.870
angles: 90.00 95.74 90.00
Space group C2/c (No. 15)
One atom of each set of equivalent atoms:
Li: 0.000 0.179 0.250 (multiplicity 4)
Li: 0.128 0.175 0.969 (multiplicity 8)
Li: 0.212 0.313 0.322 (multiplicity 8)
Sn: 0.083 0.327 0.612 (multiplicity 8)

Calculated values
For the total moment, the calculation gives 0.00 μB/cell. For the volume, the calculation gives 18.82 Å³ per atom.

***

Stability summary: most stable two, least stable one.

***

one:
A relaxed structure of Li3Sn5, computed with PBE.

abc: 8.945 9.044 4.566
angles: 90.00 90.00 90.00
Space group Cmmm (No. 65)
One atom of each set of equivalent atoms:
Li: 0.000 0.000 0.000 (multiplicity 2)
Li: 0.000 0.262 0.500 (multiplicity 4)
Sn: 0.000 0.500 0.000 (multiplicity 2)
Sn: 0.227 0.000 0.500 (multiplicity 4)
Sn: 0.250 0.250 0.000 (multiplicity 4)

Calculated values
For the total moment, the calculation gives 0.00 μB/cell. For the volume, the calculation gives 23.09 Å³ per atom.

***

two:
A relaxed structure of Li3Sn5, computed with PBE.

abc: 3.270 3.270 16.769
angles: 90.00 90.00 90.00
Space group P4/mmm (No. 123)
One atom of each set of equivalent atoms:
Li: 0.000 0.000 0.000 (multiplicity 1)
Li: 0.500 0.500 0.384 (multiplicity 2)
Sn: 0.000 0.000 0.267 (multiplicity 2)
Sn: 0.000 0.000 0.500 (multiplicity 1)
Sn: 0.500 0.500 0.116 (multiplicity 2)

Calculated values
For the total moment, the calculation gives 0.00 μB/cell. For the volume, the calculation gives 22.41 Å³ per atom.

***

Stability summary: most stable one, least stable two.

***

one:
A relaxed structure of Li4Sn3, computed with PBE.

abc: 3.733 3.733 20.685
angles: 90.00 90.00 90.00
Space group I4/mmm (No. 139)
One atom of each set of equivalent atoms:
Li: 0.000 0.000 0.070 (multiplicity 4)
Li: 0.000 0.000 0.358 (multiplicity 4)
Sn: 0.000 0.000 0.211 (multiplicity 4)
Sn: 0.000 0.000 0.500 (multiplicity 2)

Calculated values
For the total moment, the calculation gives 0.00 μB/cell. For the volume, the calculation gives 20.59 Å³ per atom.

***

two:
A relaxed structure of Li4Sn3, computed with PBE.

abc: 3.092 4.348 20.917
angles: 90.00 90.00 90.00
Space group Immm (No. 71)
One atom of each set of equivalent atoms:
Li: 0.000 0.000 0.073 (multiplicity 4)
Li: 0.000 0.000 0.211 (multiplicity 4)
Sn: 0.000 0.000 0.351 (multiplicity 4)
Sn: 0.000 0.000 0.500 (multiplicity 2)

Calculated values
For the total moment, the calculation gives 0.00 μB/cell. For the volume, the calculation gives 20.09 Å³ per atom.

***

Stability summary: most stable two, least stable one.

***

one:
A relaxed structure of SrLi3Sn, computed with PBE.

abc: 7.951 7.143 10.174
angles: 90.00 122.66 90.00
Space group P2_1/c (No. 14)
One atom of each set of equivalent atoms:
Sr: 0.186 0.065 0.201 (multiplicity 4)
Li: 0.014 0.609 0.105 (multiplicity 4)
Li: 0.385 0.502 0.341 (multiplicity 4)
Li: 0.428 0.163 0.574 (multiplicity 4)
Sn: 0.292 0.715 0.028 (multiplicity 4)

Calculated values
For the total moment, the calculation gives 0.00 μB/cell. For the volume, the calculation gives 24.32 Å³ per atom.

***

two:
A relaxed structure of SrLi3Sn, computed with PBE.

abc: 5.188 5.188 5.188
angles: 90.00 90.00 90.00
Space group Pm-3m (No. 221)
One atom of each set of equivalent atoms:
Sr: 0.000 0.000 0.000 (multiplicity 1)
Li: 0.000 0.500 0.500 (multiplicity 3)
Sn: 0.500 0.500 0.500 (multiplicity 1)

Calculated values
For the total moment, the calculation gives 0.00 μB/cell. For the volume, the calculation gives 27.92 Å³ per atom.

***

Stability summary: most stable one, least stable two.

***

one:
A relaxed structure of Sr2LiSn2, computed with PBE.

abc: 9.899 9.899 3.530
angles: 90.00 90.00 90.00
Space group P4/mbm (No. 127)
One atom of each set of equivalent atoms:
Sr: 0.127 0.373 0.000 (multiplicity 4)
Li: 0.000 0.000 0.000 (multiplicity 2)
Sn: 0.173 0.673 0.500 (multiplicity 4)

Calculated values
For the total moment, the calculation gives 0.00 μB/cell. For the volume, the calculation gives 34.59 Å³ per atom.

***

two:
A relaxed structure of Sr2LiSn2, computed with PBE.

abc: 15.836 4.990 7.831
angles: 90.00 97.45 90.00
Space group C2/m (No. 12)
One atom of each set of equivalent atoms:
Sr: 0.022 0.000 0.252 (multiplicity 4)
Sr: 0.235 0.000 0.683 (multiplicity 4)
Li: 0.197 0.000 0.055 (multiplicity 4)
Sn: 0.098 0.500 0.563 (multiplicity 4)
Sn: 0.117 0.500 0.953 (multiplicity 4)

Calculated values
For the total moment, the calculation gives 0.00 μB/cell. For the volume, the calculation gives 30.68 Å³ per atom.

***

three:
A relaxed structure of Sr2LiSn2, computed with PBE.

abc: 8.152 8.152 4.955
angles: 90.00 90.00 90.00
Space group P4/mbm (No. 127)
One atom of each set of equivalent atoms:
Sr: 0.168 0.332 0.000 (multiplicity 4)
Li: 0.000 0.000 0.500 (multiplicity 2)
Sn: 0.131 0.631 0.500 (multiplicity 4)

Calculated values
For the total moment, the calculation gives 0.00 μB/cell. For the volume, the calculation gives 32.93 Å³ per atom.

***

Stability summary: most stable three, least stable one.

***

one:
A relaxed structure of Sr3Li3Sn8, computed with PBE.

abc: 4.641 11.565 14.522
angles: 90.00 90.00 90.00
Space group Immm (No. 71)
One atom of each set of equivalent atoms:
Sr: 0.000 0.000 0.000 (multiplicity 2)
Sr: 0.000 0.000 0.293 (multiplicity 4)
Li: 0.000 0.195 0.500 (multiplicity 4)
Li: 0.000 0.500 0.000 (multiplicity 2)
Sn: 0.000 0.305 0.124 (multiplicity 8)
Sn: 0.000 0.357 0.347 (multiplicity 8)

Calculated values
For the total moment, the calculation gives 0.00 μB/cell. For the volume, the calculation gives 27.84 Å³ per atom.

***

two:
A relaxed structure of Sr3Li3Sn8, computed with PBE.

abc: 17.731 5.051 10.698
angles: 90.00 126.66 90.00
Space group C2/m (No. 12)
One atom of each set of equivalent atoms:
Sr: 0.000 0.000 0.000 (multiplicity 2)
Sr: 0.199 0.500 0.694 (multiplicity 4)
Li: 0.000 0.000 0.500 (multiplicity 2)
Li: 0.167 0.500 0.315 (multiplicity 4)
Sn: 0.003 0.500 0.314 (multiplicity 4)
Sn: 0.137 0.000 0.410 (multiplicity 4)
Sn: 0.147 0.500 0.033 (multiplicity 4)
Sn: 0.151 0.000 0.874 (multiplicity 4)

Calculated values
For the total moment, the calculation gives 0.00 μB/cell. For the volume, the calculation gives 27.45 Å³ per atom.

***

Stability summary: most stable two, least stable one.

***

one:
A relaxed structure of Sr2LiSn3, computed with PBE.

abc: 9.406 9.572 16.543
angles: 90.00 90.00 90.00
Space group Fmmm (No. 69)
One atom of each set of equivalent atoms:
Sr: 0.238 0.000 0.000 (multiplicity 8)
Sr: 0.250 0.250 0.250 (multiplicity 8)
Li: 0.000 0.000 0.333 (multiplicity 8)
Sn: 0.000 0.000 0.171 (multiplicity 8)
Sn: 0.000 0.239 0.414 (multiplicity 16)

Calculated values
For the total moment, the calculation gives 0.00 μB/cell. For the volume, the calculation gives 31.03 Å³ per atom.

***

two:
A relaxed structure of Sr2LiSn3, computed with PBE.

abc: 11.585 5.247 7.969
angles: 90.00 132.18 90.00
Space group Cm (No. 8)
One atom of each set of equivalent atoms:
Sr: 0.000 0.000 0.000 (multiplicity 2)
Sr: 0.086 0.000 0.595 (multiplicity 2)
Li: 0.376 0.000 0.206 (multiplicity 2)
Sn: 0.198 0.500 0.402 (multiplicity 2)
Sn: 0.214 0.500 0.024 (multiplicity 2)
Sn: 0.381 0.000 0.586 (multiplicity 2)

Calculated values
For the total moment, the calculation gives 0.00 μB/cell. For the volume, the calculation gives 29.91 Å³ per atom.

***

Stability summary: most stable one, least stable two.

***

one:
A relaxed structure of LiTcSn3, computed with PBE.

abc: 4.885 4.885 4.885
angles: 90.00 90.00 90.00
Space group Pm-3m (No. 221)
One atom of each set of equivalent atoms:
Li: 0.000 0.000 0.000 (multiplicity 1)
Tc: 0.500 0.500 0.500 (multiplicity 1)
Sn: 0.000 0.000 0.500 (multiplicity 3)

Calculated values
For the total moment, the calculation gives 3.14 μB/cell. For the volume, the calculation gives 23.32 Å³ per atom.

***

two:
A relaxed structure of LiTcSn3, computed with PBE.

abc: 6.1164 6.1164 20.7627
angles: 90.00 90.00 120.00
Space group R-3 (No. 148, hexagonal axes)
One atom of each set of equivalent atoms:
Li: 0.0000 0.0000 0.1762 (multiplicity 6)
Tc: 0.0000 0.0000 0.3245 (multiplicity 6)
Sn: 0.9995 0.3701 0.7483 (multiplicity 18)

Calculated values
For the total moment, the calculation gives 2.10 μB/cell. For the volume, the calculation gives 22.42 Å³ per atom.

***

Stability summary: most stable two, least stable one.

***

one:
A relaxed structure of Li2Sn2Te3, computed with PBE.

abc: 4.627 7.386 7.627
angles: 116.78 107.64 90.03
Space group P-1 (No. 2)
One atom of each set of equivalent atoms:
Li: 0.202 0.072 0.404 (multiplicity 2)
Sn: 0.402 0.664 0.804 (multiplicity 2)
Te: 0.000 0.000 0.000 (multiplicity 1)
Te: 0.207 0.695 0.414 (multiplicity 2)

Calculated values
For the total moment, the calculation gives 0.00 μB/cell. For the volume, the calculation gives 31.27 Å³ per atom.

***

two:
A relaxed structure of Li2Sn2Te3, computed with PBE.

abc: 7.073 8.813 7.901
angles: 90.00 118.66 90.00
Space group P2_1/c (No. 14)
One atom of each set of equivalent atoms:
Li: 0.115 0.124 0.441 (multiplicity 4)
Sn: 0.393 0.668 0.619 (multiplicity 4)
Te: 0.172 0.087 0.826 (multiplicity 4)
Te: 0.500 0.000 0.500 (multiplicity 2)

Calculated values
For the total moment, the calculation gives 0.00 μB/cell. For the volume, the calculation gives 30.87 Å³ per atom.

***

Stability summary: most stable one, least stable two.

***

one:
A relaxed structure of LiSnTe, computed with PBE.

abc: 6.812 6.812 6.812
angles: 90.00 90.00 90.00
Space group F-43m (No. 216)
One atom of each set of equivalent atoms:
Li: 0.000 0.000 0.000 (multiplicity 4)
Sn: 0.250 0.250 0.250 (multiplicity 4)
Te: 0.250 0.250 0.750 (multiplicity 4)

Calculated values
For the total moment, the calculation gives 0.00 μB/cell. For the volume, the calculation gives 26.34 Å³ per atom.

***

two:
A relaxed structure of LiSnTe, computed with PBE.

abc: 9.283 4.063 10.035
angles: 90.00 113.91 90.00
Space group C2/m (No. 12)
One atom of each set of equivalent atoms:
Li: 0.164 0.000 0.112 (multiplicity 4)
Sn: 0.114 0.000 0.431 (multiplicity 4)
Te: 0.017 0.500 0.818 (multiplicity 4)

Calculated values
For the total moment, the calculation gives 0.00 μB/cell. For the volume, the calculation gives 28.83 Å³ per atom.

***

Stability summary: most stable two, least stable one.